Record 1
First-principles (PBE) data for a relaxed Y8HoSc3 crystal, as listed in Alexandria via LeMat-Bulk.

Structure (CIF):
```
data_Y8HoSc3
_chemical_formula_sum 'Y16 Ho2 Sc6'
_cell_length_a 10.7200
_cell_length_b 11.0571
_cell_length_c 6.1651
_cell_angle_alpha 90.00
_cell_angle_beta 90.00
_cell_angle_gamma 90.00
_space_group_name_H-M_alt 'I m m 2'
_space_group_IT_number 44
_space_group_name_Hall 'I 2 -2'
loop_
_atom_site_label
_atom_site_fract_x
_atom_site_fract_y
_atom_site_fract_z
Y1 0.1616 0.0000 0.0000
Y2 0.1639 0.2470 0.6558
Y3 0.1642 0.5000 0.9954
Ho1 0.0000 0.5000 0.4868
Sc1 0.0000 0.0000 0.4876
Sc2 0.0000 0.2483 0.1630
```

## Properties
Spin magnetization   0.0 Bohr magnetons per cell
Crystal system   orthorhombic
Calculated formation energy   0.021 eV per atom

Record 2
First-principles (PBE) data for a relaxed Y2Ho8Sc3 crystal, as listed in Alexandria via LeMat-Bulk.

Structure (CIF):
```
data_Y2Ho8Sc3
_chemical_formula_sum 'Y4 Ho16 Sc6'
_cell_length_a 13.0958
_cell_length_b 11.1468
_cell_length_c 5.9166
_cell_angle_alpha 90.00
_cell_angle_beta 114.22
_cell_angle_gamma 90.00
_space_group_name_H-M_alt 'C 1 2/m 1'
_space_group_IT_number 12
_space_group_name_Hall '-C 2y'
loop_
_atom_site_label
_atom_site_fract_x
_atom_site_fract_y
_atom_site_fract_z
Y1 0.1809 0.0000 0.3366
Ho1 0.0881 0.0000 0.7693
Ho2 0.1360 0.5000 0.1138
Ho3 0.1548 0.2667 0.6478
Sc1 0.0000 0.2327 0.0000
Sc2 0.0000 0.5000 0.5000
```

## Properties
E above lowest polymorph   0.0 meV/atom
Spin magnetization   0.0 Bohr magnetons per cell
Crystal system   monoclinic
Calculated formation energy   0.200 eV per atom

Record 3
First-principles (PBE) data for a relaxed Y8Ho5Sc crystal, as listed in Alexandria via LeMat-Bulk.

Structure (CIF):
```
data_Y8Ho5Sc
_chemical_formula_sum 'Y16 Ho10 Sc2'
_cell_length_a 9.5097
_cell_length_b 9.5097
_cell_length_c 10.0201
_cell_angle_alpha 90.00
_cell_angle_beta 90.00
_cell_angle_gamma 90.00
_space_group_name_H-M_alt 'I -4'
_space_group_IT_number 82
_space_group_name_Hall 'I -4'
loop_
_atom_site_label
_atom_site_fract_x
_atom_site_fract_y
_atom_site_fract_z
Y1 0.0697 0.1761 0.1576
Y2 0.0845 0.3186 0.4967
Ho1 0.0000 0.5000 0.2500
Ho2 0.1068 0.2896 0.8263
Sc1 0.0000 0.0000 0.5000
```

## Properties
Spin magnetization   0.0 Bohr magnetons per cell
Crystal system   tetragonal
Calculated formation energy   0.259 eV per atom

Record 4
First-principles (PBE) data for a relaxed Y5Ho2Sc2 crystal, as listed in Alexandria via LeMat-Bulk.

Structure (CIF):
```
data_Y5Ho2Sc2
_chemical_formula_sum 'Y10 Ho4 Sc4'
_cell_length_a 18.2696
_cell_length_b 3.5374
_cell_length_c 9.3523
_cell_angle_alpha 90.00
_cell_angle_beta 115.76
_cell_angle_gamma 90.00
_space_group_name_H-M_alt 'C 1 2/m 1'
_space_group_IT_number 12
_space_group_name_Hall '-C 2y'
loop_
_atom_site_label
_atom_site_fract_x
_atom_site_fract_y
_atom_site_fract_z
Y1 0.0000 0.0000 0.0000
Y2 0.1652 0.5000 0.9939
Y3 0.1839 0.0000 0.3332
Ho1 0.1419 0.0000 0.6564
Sc1 0.0180 0.5000 0.3370
```

## Properties
E above lowest polymorph   0.0 meV/atom
Spin magnetization   0.0 Bohr magnetons per cell
Crystal system   monoclinic
Calculated formation energy   0.021 eV per atom

Record 5
First-principles (PBE) data for a relaxed YHo2Sc crystal, as listed in Alexandria via LeMat-Bulk.

Structure (CIF):
```
data_YHo2Sc
_chemical_formula_sum 'Y1 Ho2 Sc1'
_cell_length_a 4.9100
_cell_length_b 4.9100
_cell_length_c 4.9086
_cell_angle_alpha 90.00
_cell_angle_beta 90.00
_cell_angle_gamma 90.00
_space_group_name_H-M_alt 'P 4/m m m'
_space_group_IT_number 123
_space_group_name_Hall '-P 4 2'
loop_
_atom_site_label
_atom_site_fract_x
_atom_site_fract_y
_atom_site_fract_z
Y1 0.0000 0.0000 0.0000
Ho1 0.0000 0.5000 0.5000
Sc1 0.5000 0.5000 0.0000
```

## Properties
E above lowest polymorph   14.2 meV/atom
Spin magnetization   0.0 Bohr magnetons per cell
Crystal system   tetragonal
Calculated formation energy   0.046 eV per atom

Record 6
First-principles (PBE) data for a relaxed Y8Ho3Sc crystal, as listed in Alexandria via LeMat-Bulk.

Structure (CIF):
```
data_Y8Ho3Sc
_chemical_formula_sum 'Y16 Ho6 Sc2'
_cell_length_a 7.6334
_cell_length_b 7.6334
_cell_length_c 15.2738
_cell_angle_alpha 90.00
_cell_angle_beta 90.00
_cell_angle_gamma 90.00
_space_group_name_H-M_alt 'I 4/m m m'
_space_group_IT_number 139
_space_group_name_Hall '-I 4 2'
loop_
_atom_site_label
_atom_site_fract_x
_atom_site_fract_y
_atom_site_fract_z
Y1 0.2464 0.2464 0.1230
Ho1 0.0000 0.0000 0.5000
Ho2 0.0000 0.5000 0.2500
Sc1 0.0000 0.0000 0.0000
```

## Properties
Spin magnetization   0.0 Bohr magnetons per cell
Crystal system   tetragonal
Calculated formation energy   0.724 eV per atom

Record 7
First-principles (PBE) data for a relaxed Y3Ho8Sc3 crystal, as listed in Alexandria via LeMat-Bulk.

Structure (CIF):
```
data_Y3Ho8Sc3
_chemical_formula_sum 'Y6 Ho16 Sc6'
_cell_length_a 5.3445
_cell_length_b 9.5034
_cell_length_c 17.2062
_cell_angle_alpha 90.00
_cell_angle_beta 90.00
_cell_angle_gamma 90.00
_space_group_name_H-M_alt 'I m m m'
_space_group_IT_number 71
_space_group_name_Hall '-I 2 2'
loop_
_atom_site_label
_atom_site_fract_x
_atom_site_fract_y
_atom_site_fract_z
Y1 0.0000 0.0000 0.0000
Y2 0.0000 0.2427 0.5000
Ho1 0.0000 0.1569 0.2983
Ho2 0.0000 0.2406 0.1235
Sc1 0.0000 0.5000 0.0000
Sc2 0.0000 0.5000 0.3326
```

## Properties
Spin magnetization   0.0 Bohr magnetons per cell
Crystal system   orthorhombic
Calculated formation energy   0.385 eV per atom

Record 8
First-principles (PBE) data for a relaxed Y4HoSc crystal, as listed in Alexandria via LeMat-Bulk.

Structure (CIF):
```
data_Y4HoSc
_chemical_formula_sum 'Y16 Ho4 Sc4'
_cell_length_a 7.0173
_cell_length_b 19.2690
_cell_length_c 6.4944
_cell_angle_alpha 90.00
_cell_angle_beta 122.52
_cell_angle_gamma 90.00
_space_group_name_H-M_alt 'C 1 2/c 1'
_space_group_IT_number 15
_space_group_name_Hall '-C 2yc'
loop_
_atom_site_label
_atom_site_fract_x
_atom_site_fract_y
_atom_site_fract_z
Y1 0.2460 0.1251 0.2380
Y2 0.2496 0.0525 0.7471
Ho1 0.0000 0.2807 0.2500
Sc1 0.0000 0.2216 0.7500
```

## Properties
E above lowest polymorph   0.0 meV/atom
Spin magnetization   0.0 Bohr magnetons per cell
Crystal system   monoclinic
Calculated formation energy   0.043 eV per atom

Record 9
First-principles (PBE) data for a relaxed Y7Ho3Sc crystal, as listed in Alexandria via LeMat-Bulk.

Structure (CIF):
```
data_Y7Ho3Sc
_chemical_formula_sum 'Y7 Ho3 Sc1'
_cell_length_a 7.0174
_cell_length_b 7.0174
_cell_length_c 8.5264
_cell_angle_alpha 90.00
_cell_angle_beta 90.00
_cell_angle_gamma 120.00
_space_group_name_H-M_alt 'P 3 m 1'
_space_group_IT_number 156
_space_group_name_Hall 'P 3 -2"'
loop_
_atom_site_label
_atom_site_fract_x
_atom_site_fract_y
_atom_site_fract_z
Y1 0.0000 0.0000 0.0000
Y2 0.0040 0.5020 0.9989
Y3 0.3309 0.1655 0.6674
Ho1 0.1679 0.3357 0.3377
Sc1 0.3333 0.6667 0.6705
```

## Properties
E above lowest polymorph   59.9 meV/atom
Spin magnetization   0.0 Bohr magnetons per cell
Crystal system   trigonal
Calculated formation energy   0.205 eV per atom

Record 10
First-principles (PBE) data for a relaxed YHo5Sc crystal, as listed in Alexandria via LeMat-Bulk.

Structure (CIF):
```
data_YHo5Sc
_chemical_formula_sum 'Y2 Ho10 Sc2'
_cell_length_a 5.6792
_cell_length_b 8.4235
_cell_length_c 11.7488
_cell_angle_alpha 90.00
_cell_angle_beta 90.00
_cell_angle_gamma 90.00
_space_group_name_H-M_alt 'I m m m'
_space_group_IT_number 71
_space_group_name_Hall '-I 2 2'
loop_
_atom_site_label
_atom_site_fract_x
_atom_site_fract_y
_atom_site_fract_z
Y1 0.0000 0.0000 0.0000
Ho1 0.0000 0.0000 0.2588
Ho2 0.0000 0.3173 0.5000
Ho3 0.0000 0.5000 0.0000
Sc1 0.0000 0.0000 0.5000
```

## Properties
E above lowest polymorph   868.7 meV/atom
Spin magnetization   0.0 Bohr magnetons per cell
Crystal system   orthorhombic
Calculated formation energy   1.033 eV per atom

Record 11
First-principles (PBE) data for a relaxed Y2Ho2Sc15 crystal, as listed in Alexandria via LeMat-Bulk.

Structure (CIF):
```
data_Y2Ho2Sc15
_chemical_formula_sum 'Y6 Ho6 Sc45'
_cell_length_a 10.5421
_cell_length_b 10.5421
_cell_length_c 16.1359
_cell_angle_alpha 90.00
_cell_angle_beta 90.00
_cell_angle_gamma 120.00
_space_group_name_H-M_alt 'R -3 m'
_space_group_IT_number 166
_space_group_name_Hall '-R 3 2"'
loop_
_atom_site_label
_atom_site_fract_x
_atom_site_fract_y
_atom_site_fract_z
Y1 0.0000 0.0000 0.1112
Ho1 0.0000 0.0000 0.3345
Sc1 0.0000 0.3037 0.0000
Sc2 0.0000 0.5000 0.5000
Sc3 0.0139 0.5069 0.1407
```

## Properties
Spin magnetization   0.1 Bohr magnetons per cell
Crystal system   trigonal
Calculated formation energy   0.245 eV per atom

Record 12
First-principles (PBE) data for a relaxed Y2Ho6Sc3 crystal, as listed in Alexandria via LeMat-Bulk.

Structure (CIF):
```
data_Y2Ho6Sc3
_chemical_formula_sum 'Y2 Ho6 Sc3'
_cell_length_a 6.2345
_cell_length_b 6.7679
_cell_length_c 8.3089
_cell_angle_alpha 76.34
_cell_angle_beta 73.63
_cell_angle_gamma 89.14
_space_group_name_H-M_alt 'P -1'
_space_group_IT_number 2
_space_group_name_Hall '-P 1'
loop_
_atom_site_label
_atom_site_fract_x
_atom_site_fract_y
_atom_site_fract_z
Y1 0.0999 0.2537 0.4770
Ho1 0.2214 0.0553 0.0961
Ho2 0.3301 0.8343 0.7169
Ho3 0.4750 0.6739 0.3250
Sc1 0.0097 0.5922 0.1468
Sc2 0.5000 0.5000 0.0000
```

## Properties
Spin magnetization   0.0 Bohr magnetons per cell
Crystal system   triclinic
Calculated formation energy   0.068 eV per atom